1.
Here is a relaxed structure of MgPOs2 from the Alexandria database. Energies are from PBE.

The structure in POSCAR format:
```
MgPOs2
1.0
-2.7349 0.1606 0.6440
0.8350 -2.1066 -1.6690
1.3421 -4.9647 6.9376
Mg Os P
1 2 1
direct
0.5000 0.5000 0.7463
0.0000 0.0000 0.0045
0.5000 0.5000 0.2678
0.0000 0.0000 0.4814
```

Properties
Space group ... Cmm2
Relative energy among the computed polymorphs ... 380.9 meV/atom
Crystal system ... orthorhombic
E_tot ... -6.930 eV per atom



2.
Here is a relaxed structure of MgPOs from the Alexandria database. Energies are from PBE.

The structure in POSCAR format:
```
MgPOs
1.0
6.7099 -0.0055 0.0036
5.7834 2.7695 0.0116
0.9265 -1.1051 2.5456
Mg Os P
1 1 1
direct
0.0000 0.0000 0.0000
0.3187 0.3187 0.6813
0.6813 0.6813 0.3187
```

Properties
Space group ... Fmm2
Crystal system ... orthorhombic
E_tot ... -5.876 eV per atom



3.
Here is a relaxed structure of Mg3POs from the Alexandria database. Energies are from PBE.

The structure in POSCAR format:
```
Mg3POs
1.0
-4.5811 0.4886 1.0402
-0.7579 -4.4981 -1.2248
0.8640 -1.3549 4.4413
P Mg Os
1 3 1
direct
0.0000 0.0000 0.0000
0.0000 0.5000 0.0000
0.0000 0.0000 0.5000
0.5000 0.0000 0.0000
0.5000 0.5000 0.5000
```

Properties
Space group ... Pm-3m
Relative energy among the computed polymorphs ... 0.0 meV/atom
Crystal system ... cubic
E_tot ... -3.587 eV per atom



4.
Here is a relaxed structure of MgPOs2 from the Alexandria database. Energies are from PBE.

The structure in POSCAR format:
```
MgPOs2
1.0
-1.0920 1.7726 1.9498
-2.6550 -2.6011 0.8778
3.2674 -2.0795 3.7204
Mg Os P
1 2 1
direct
0.5000 0.5000 0.7522
0.0000 0.0000 0.0212
0.5000 0.5000 0.2609
0.0000 0.0000 0.4657
```

Properties
Space group ... Pmm2
Relative energy among the computed polymorphs ... 146.7 meV/atom
Crystal system ... orthorhombic
E_tot ... -7.164 eV per atom